1.
## Cs2NbCdS4 (PBE-GGA)

Data for crystalline Cs2NbCdS4 at its relaxed geometry.

Unit cell a=6.616 b=14.257 c=24.728 alpha=90.00 beta=90.00 gamma=90.00
Space group Fddd (No. 70, origin choice 2)
Symmetry-distinct sites (fractional):
Cs  0.125  0.125  0.302
Nb  0.125  0.125  0.625
Cd  0.125  0.125  0.125
S  0.094  0.283  0.824

## Properties
total DFT energy (no corrections)	-4.6113	eV/atom
ΔE_f (raw)	-0.961	eV per atom
calculated volume	36.4	Å³ per atom

2.
## CsNb2VCd (PBE-GGA)

Data for crystalline CsNb2VCd at its relaxed geometry.

Unit cell a=5.054 b=5.054 c=4.738 alpha=90.00 beta=90.00 gamma=90.00
Space group P4/mmm (No. 123)
Symmetry-distinct sites (fractional):
Cs  0.000  0.000  0.000
Nb  0.000  0.500  0.000
V  0.000  0.000  0.500
Cd  0.500  0.500  0.500

## Properties
total DFT energy (no corrections)	-3.7624	eV/atom
formation energy	2443.0	meV/atom
calculated volume	24.2	Å³ per atom

3.
## CsNdCd (PBE-GGA)

Data for crystalline CsNdCd at its relaxed geometry.

Unit cell a=18.536 b=4.058 c=7.028 alpha=90.00 beta=90.00 gamma=90.00
Space group Amm2 (No. 38)
Symmetry-distinct sites (fractional):
Cs  0.168  0.000  0.000
Nd  0.380  0.000  0.659
Cd  0.000  0.000  0.667
Cd  0.500  0.000  0.992

## Properties
total DFT energy (no corrections)	-1.9325	eV/atom
formation energy	246.3	meV/atom
calculated volume	44.1	Å³ per atom

4.
## CsNdCd17 (PBE-GGA)

Data for crystalline CsNdCd17 at its relaxed geometry.

Unit cell a=10.3367 b=10.3367 c=15.2354 alpha=90.00 beta=90.00 gamma=120.00
Space group R3m (No. 160, hexagonal axes)
Symmetry-distinct sites (fractional):
Cs  0.0000  0.0000  0.0000
Nd  0.0000  0.0000  0.3319
Cd  0.0000  0.0000  0.5554
Cd  0.0000  0.0000  0.7530
Cd  0.0403  0.3699  0.3291
Cd  0.1727  0.3454  0.1410
Cd  0.1747  0.3493  0.4988
Cd  0.1842  0.3684  0.8484

## Properties
total DFT energy (no corrections)	-1.1945	eV/atom
formation energy	-79.9	meV/atom
calculated volume	24.7	Å³ per atom

5.
## CsNdCdO3 (PBE-GGA)

Data for crystalline CsNdCdO3 at its relaxed geometry.

Unit cell a=7.388 b=3.778 c=10.063 alpha=90.00 beta=109.38 gamma=90.00
Space group P2_1/m (No. 11)
Symmetry-distinct sites (fractional):
Cs  0.156  0.250  0.195
Nd  0.371  0.250  0.847
Cd  0.174  0.750  0.555
O  0.048  0.250  0.648
O  0.323  0.750  0.985
O  0.438  0.750  0.721

## Properties
total DFT energy (no corrections)	-5.5458	eV/atom
ΔE_f (raw)	-1.977	eV per atom
calculated volume	22.1	Å³ per atom

6.
## Cs3Nd2CdS6 (PBE-GGA)

Data for crystalline Cs3Nd2CdS6 at its relaxed geometry.

Unit cell a=7.289 b=12.608 c=8.429 alpha=90.00 beta=106.70 gamma=90.00
Space group C2/m (No. 12)
Symmetry-distinct sites (fractional):
Cs  0.000  0.000  0.000
Cs  0.000  0.335  0.000
Nd  0.000  0.167  0.500
Cd  0.000  0.500  0.500
S  0.227  0.335  0.686
S  0.232  0.000  0.687

## Properties
total DFT energy (no corrections)	-4.4806	eV/atom
ΔE_f (raw)	-1.333	eV per atom
calculated volume	30.9	Å³ per atom

7.
## CsNdCdTe3 (PBE-GGA)

Data for crystalline CsNdCdTe3 at its relaxed geometry.

Unit cell a=10.280 b=4.645 c=11.242 alpha=90.00 beta=110.15 gamma=90.00
Space group P2_1/m (No. 11)
Symmetry-distinct sites (fractional):
Cs  0.220  0.250  0.248
Nd  0.326  0.750  0.866
Cd  0.084  0.250  0.612
Te  0.111  0.250  0.870
Te  0.215  0.750  0.546
Te  0.473  0.750  0.160

## Properties
total DFT energy (no corrections)	-3.7557	eV/atom
ΔE_f (raw)	-1.095	eV per atom
calculated volume	42.0	Å³ per atom

8.
## Cs2NdCd2Te4 (PBE-GGA)

Data for crystalline Cs2NdCd2Te4 at its relaxed geometry.

Unit cell a=18.020 b=4.627 c=9.274 alpha=90.00 beta=112.03 gamma=90.00
Space group C2/m (No. 12)
Symmetry-distinct sites (fractional):
Cs  0.129  0.000  0.065
Nd  0.000  0.000  0.500
Cd  0.186  0.500  0.497
Te  0.023  0.500  0.277
Te  0.189  0.000  0.699

## Properties
total DFT energy (no corrections)	-3.2250	eV/atom
ΔE_f (raw)	-0.906	eV per atom
calculated volume	39.8	Å³ per atom

9.
## CsNdCdTe3 (PBE-GGA)

Data for crystalline CsNdCdTe3 at its relaxed geometry.

Unit cell a=4.633 b=17.341 c=12.123 alpha=90.00 beta=90.00 gamma=90.00
Space group Cmcm (No. 63)
Symmetry-distinct sites (fractional):
Cs  0.000  0.250  0.250
Nd  0.000  0.000  0.000
Cd  0.000  0.464  0.750
Te  0.000  0.066  0.750
Te  0.000  0.377  0.553

## Properties
total DFT energy (no corrections)	-3.7728	eV/atom
ΔE_f (raw)	-1.113	eV per atom
calculated volume	40.6	Å³ per atom

10.
## CsCdNi3 (PBE-GGA)

Data for crystalline CsCdNi3 at its relaxed geometry.

Unit cell a=4.863 b=4.863 c=4.863 alpha=90.00 beta=90.00 gamma=90.00
Space group Pm-3m (No. 221)
Symmetry-distinct sites (fractional):
Cs  0.000  0.000  0.000
Cd  0.500  0.500  0.500
Ni  0.000  0.000  0.500

## Properties
total DFT energy (no corrections)	-1.9577	eV/atom
formation energy	1864.8	meV/atom
calculated volume	23.0	Å³ per atom

11.
## CsCd2NiPb (PBE-GGA)

Data for crystalline CsCd2NiPb at its relaxed geometry.

Unit cell a=5.350 b=5.350 c=5.150 alpha=90.00 beta=90.00 gamma=90.00
Space group P4/mmm (No. 123)
Symmetry-distinct sites (fractional):
Cs  0.000  0.000  0.000
Cd  0.000  0.500  0.500
Ni  0.500  0.500  0.500
Pb  0.500  0.500  0.000

## Properties
total DFT energy (no corrections)	-2.3978	eV/atom
formation energy	36.9	meV/atom
calculated volume	29.5	Å³ per atom

12.
## CsCd2NiRh (PBE-GGA)

Data for crystalline CsCd2NiRh at its relaxed geometry.

Unit cell a=6.478 b=6.478 c=4.889 alpha=90.00 beta=90.00 gamma=90.00
Space group P4/mmm (No. 123)
Symmetry-distinct sites (fractional):
Cs  0.000  0.000  0.000
Cd  0.000  0.500  0.000
Ni  0.000  0.000  0.500
Rh  0.500  0.500  0.500

## Properties
total DFT energy (no corrections)	-1.2584	eV/atom
formation energy	1904.9	meV/atom
calculated volume	41.0	Å³ per atom